(1)
The following is a DFT calculation (PBE) of CdFeSbPd after structural relaxation.

Lattice parameters (Å, degrees): 4.6191 4.6191 4.6191 60.00 60.00 60.00
With the nearest neighbours (Å) after each atom.
Element x y z (fractional)
1 Cd 0.0000 0.0000 0.0000  4 Fe 2.83, 4 Pd 2.83
2 Fe 0.7500 0.7500 0.7500  4 Cd 2.83, 4 Sb 2.83
3 Sb 0.5000 0.5000 0.5000  4 Fe 2.83, 4 Pd 2.83
4 Pd 0.2500 0.2500 0.2500  4 Cd 2.83, 4 Sb 2.83

For the uncorrected energy, the calculation gives -18.42 eV per cell. Its space-group type is No. 216. The offset from the most stable computed form comes out at 0 meV per atom.

(2)
The following is a DFT calculation (PBE) of TbGdNi2B2P2 after structural relaxation.

Lattice parameters (Å, degrees): 3.9161 3.9161 7.8439 90.00 90.00 90.00
With the nearest neighbours (Å) after each atom.
Element x y z (fractional)
1 Tb 0.0000 0.0000 0.0000  5 P 2.79-2.85, 4 Ni 3.03, 1 B 3.04
2 Gd 0.5000 0.5000 0.4107  5 P 2.79-2.86, 4 Ni 3.03, 1 B 3.03
3 Ni 0.0000 0.5000 0.7055  4 B 2.09
4 Ni 0.5000 0.0000 0.7055  4 B 2.09
5 B 0.0000 0.0000 0.6123  1 P 1.95, 4 Ni 2.09
6 B 0.5000 0.5000 0.7970  1 P 1.95, 4 Ni 2.09
7 P 0.0000 0.0000 0.3635  1 B 1.95
8 P 0.5000 0.5000 0.0456  1 B 1.95

For the uncorrected energy, the calculation gives -50.60 eV per cell. Its space-group type is No. 99.